Computed, not measured: crystalline RbNpCl5 at its relaxed geometry at the PBE level of DFT.

abc: 7.7240 7.7240 10.7025
angles: 70.61 70.61 70.00
Closest atoms and distances in Å follow each position.
Element x y z (fractional)
Rb: 0.5397 0.4603 0.2500  7 Cl 3.36-3.53
Rb: 0.4603 0.5397 0.7500  7 Cl 3.36-3.53
Np: 0.0000 0.0000 0.0000  6 Cl 2.55-2.73
Np: 0.0000 0.0000 0.5000  6 Cl 2.55-2.73
Cl: 0.8720 0.7066 0.1140  1 Np 2.55
Cl: 0.2169 0.6598 0.4974  1 Np 2.59
Cl: 0.7066 0.8720 0.6140  1 Np 2.55
Cl: 0.9379 0.0621 0.2500  2 Np 2.73
Cl: 0.3402 0.7831 0.0026  1 Np 2.59
Cl: 0.6598 0.2169 0.9974  1 Np 2.59
Cl: 0.0621 0.9379 0.7500  2 Np 2.73
Cl: 0.2934 0.1280 0.3860  1 Np 2.55
Cl: 0.7831 0.3402 0.5026  1 Np 2.59
Cl: 0.1280 0.2934 0.8860  1 Np 2.55

## Properties
**Energy**: -70.86 eV for the cell shown
**Uncorrected formation energy**: -1.756 eV per atom